DFT (GGA+U) results for an optimized crystal structure of Ba2Mn2CuF14.

```
Ba2Mn2CuF14
1.0
-5.029 4.263 3.850
-7.494 1.461 -0.017
-1.961 -11.683 9.715
Ba Mn Cu F
4 4 2 28
direct
0.760 0.908 0.632
0.908 0.760 0.132
0.240 0.092 0.368
0.092 0.240 0.868
0.840 0.894 0.877
0.160 0.106 0.123
0.894 0.840 0.377
0.106 0.160 0.623
0.500 0.500 0.000
0.500 0.500 0.500
0.916 0.056 0.352
0.613 0.090 0.454
0.387 0.910 0.546
0.130 0.375 0.594
0.489 0.392 0.603
0.608 0.511 0.897
0.090 0.613 0.954
0.944 0.084 0.148
0.986 0.645 0.789
0.870 0.625 0.406
0.589 0.155 0.799
0.625 0.870 0.906
0.155 0.589 0.299
0.411 0.845 0.201
0.392 0.489 0.103
0.014 0.355 0.211
0.301 0.872 0.026
0.084 0.944 0.648
0.699 0.128 0.974
0.872 0.301 0.526
0.910 0.387 0.046
0.845 0.411 0.701
0.645 0.986 0.289
0.128 0.699 0.474
0.511 0.608 0.397
0.056 0.916 0.852
0.355 0.014 0.711
0.375 0.130 0.094
```

Output
uncorrected energy	-5.233	eV/atom
space-group type	C2/c, No. 15
crystal system	monoclinic